A geometry-optimized NaDyMoO5 structure, computed with GGA+U.

Values from the calculation:
VASP energy	-6.967	eV per atom
calculated volume	269	Å³ per cell

Cell lengths 6.1779, 6.1779, 7.9937 Å; angles 102.91, 102.91, 107.54 degrees
Closest atoms and distances in Å follow each position.
Atoms (fractional coordinates):
Na (0.1972, 0.8028, 0.7500)  1 O 2.21
Na (0.8028, 0.1972, 0.2500)  1 O 2.21
Dy (0.5000, 0.5000, 0.0000)  6 O 2.15-2.38
Dy (0.5000, 0.5000, 0.5000)  6 O 2.15-2.38
Mo (0.1828, 0.8172, 0.2500)  4 O 1.79-1.80
Mo (0.8172, 0.1828, 0.7500)  4 O 1.79-1.80
O (0.0970, 0.2516, 0.9169)  1 Mo 1.79
O (0.1704, 0.5903, 0.3597)  1 Mo 1.80
O (0.2516, 0.0970, 0.4169)  1 Mo 1.79
O (0.4097, 0.8296, 0.1403)  1 Mo 1.80
O (0.4193, 0.5807, 0.7500)  2 Dy 2.15, 1 Na 2.21
O (0.5807, 0.4193, 0.2500)  2 Dy 2.15, 1 Na 2.21
O (0.5903, 0.1704, 0.8597)  1 Mo 1.80
O (0.7484, 0.9030, 0.5831)  1 Mo 1.79
O (0.8296, 0.4097, 0.6403)  1 Mo 1.80
O (0.9030, 0.7484, 0.0831)  1 Mo 1.79